The following is a PBE-GGA calculation of crystalline Er5CoPb4 at its relaxed geometry, from Alexandria via LeMat-Bulk.

Values from the calculation:
Crystal system: tetragonal
Energy, eV/cell: -47.38
Formation energy from the elements, eV per atom: -0.262

a b c (Å): 7.6561 7.6561 7.6561
angles (deg): 97.11 97.11 138.81
Last column: nearest neighbours and their distance in Å.
Fractional coordinates of all 10 atoms:
Er (0.9996, 0.9996, 0.0000)  2 Co 2.69
Er (0.3236, 0.3236, 0.6471)  1 Co 2.53
Er (0.3236, 0.6764, 0.0000)  1 Co 2.53
Er (0.6764, 0.3236, 0.0000)  1 Co 2.53
Er (0.6764, 0.6764, 0.3529)  1 Co 2.53
Co (0.4996, 0.4996, 0.0000)  6 Er 2.53-2.69
Pb (0.0004, 0.3241, 0.3237)  7 Er 3.28-3.56, 1 Pb 3.57
Pb (0.0004, 0.6767, 0.6763)  7 Er 3.28-3.56, 1 Pb 3.57
Pb (0.3241, 0.0004, 0.3237)  7 Er 3.28-3.56, 1 Pb 3.57
Pb (0.6767, 0.0004, 0.6763)  7 Er 3.28-3.56, 1 Pb 3.57

***

The following is a PBE-GGA calculation of crystalline NaTlRe2 at its relaxed geometry, from Alexandria via LeMat-Bulk.

Values from the calculation:
Crystal system: cubic
Energy, eV/cell: -21.85
Formation energy from the elements, eV per atom: 1.683

a b c (Å): 4.6794 4.6794 4.6794
angles (deg): 60.00 60.00 60.00
Last column: nearest neighbours and their distance in Å.
Fractional coordinates of all 4 atoms:
Na (0.0000, 0.0000, 0.0000)  8 Re 2.87
Tl (0.5000, 0.5000, 0.5000)  8 Re 2.87
Re (0.2500, 0.2500, 0.2500)  4 Tl 2.87, 4 Na 2.87
Re (0.7500, 0.7500, 0.7500)  4 Tl 2.87, 4 Na 2.87

***

The following is a PBE-GGA calculation of crystalline LaPm6Sm12 at its relaxed geometry, from Alexandria via LeMat-Bulk.

Values from the calculation:
Crystal system: trigonal
Energy, eV/cell: -89.79
Formation energy from the elements, eV per atom: 0.014

a b c (Å): 9.6430 9.6430 9.6430
angles (deg): 110.91 110.91 110.91
Last column: nearest neighbours and their distance in Å.
Fractional coordinates of all 19 atoms:
La (0.0000, 0.0000, 0.0000)  12 Sm 3.65-3.66
Pm (0.0532, 0.5783, 0.3684)  9 Sm 3.63-3.65, 3 Pm 3.64-3.66
Pm (0.3684, 0.0532, 0.5783)  9 Sm 3.63-3.65, 3 Pm 3.64-3.66
Pm (0.4217, 0.6316, 0.9468)  9 Sm 3.63-3.65, 3 Pm 3.64-3.66
Pm (0.5783, 0.3684, 0.0532)  9 Sm 3.63-3.65, 3 Pm 3.64-3.66
Pm (0.6316, 0.9468, 0.4217)  9 Sm 3.63-3.65, 3 Pm 3.64-3.66
Pm (0.9468, 0.4217, 0.6316)  9 Sm 3.63-3.65, 3 Pm 3.64-3.66
Sm (0.1058, 0.1586, 0.7365)  6 Sm 3.63-3.66, 5 Pm 3.64-3.65, 1 La 3.65
Sm (0.1586, 0.7365, 0.1058)  6 Sm 3.63-3.66, 5 Pm 3.64-3.65, 1 La 3.65
Sm (0.2109, 0.3165, 0.4752)  7 Sm 3.63-3.66, 4 Pm 3.63-3.65, 1 La 3.66
Sm (0.2635, 0.8942, 0.8414)  6 Sm 3.63-3.66, 5 Pm 3.64-3.65, 1 La 3.65
Sm (0.3165, 0.4752, 0.2109)  7 Sm 3.63-3.66, 4 Pm 3.63-3.65, 1 La 3.66
Sm (0.4752, 0.2109, 0.3165)  7 Sm 3.63-3.66, 4 Pm 3.63-3.65, 1 La 3.66
Sm (0.5248, 0.7891, 0.6835)  7 Sm 3.63-3.66, 4 Pm 3.63-3.65, 1 La 3.66
Sm (0.6835, 0.5248, 0.7891)  7 Sm 3.63-3.66, 4 Pm 3.63-3.65, 1 La 3.66
Sm (0.7365, 0.1058, 0.1586)  6 Sm 3.63-3.66, 5 Pm 3.64-3.65, 1 La 3.65
Sm (0.7891, 0.6835, 0.5248)  7 Sm 3.63-3.66, 4 Pm 3.63-3.65, 1 La 3.66
Sm (0.8414, 0.2635, 0.8942)  6 Sm 3.63-3.66, 5 Pm 3.64-3.65, 1 La 3.65
Sm (0.8942, 0.8414, 0.2635)  6 Sm 3.63-3.66, 5 Pm 3.64-3.65, 1 La 3.65